Density functional theory data (GGA-PBE) for Ce2HoBi after structural relaxation.

It has space group P2_1/m (No. 11), with a = 4.470 Å, b = 4.373 Å, c = 11.775 Å, α = 90.00°, β = 100.59° and γ = 90.00°. The asymmetric unit holds Ce at (0.001, 0.250, 0.383), Ce at (0.404, 0.750, 0.389), Ho at (0.304, 0.250, 0.113) and Bi at (0.176, 0.250, 0.839).

The formation energy is -0.41 eV per atom. The total energy is -43.95 eV/cell. The density of states at the Fermi level comes out at 7.48 states/eV/f.u. The value obtained for the excess energy over the best structure of this formula in the dataset is 0.0 kJ/mol of atoms.